{
  "formula": "Cs3Sm3GeO8",
  "functional": "GGA-PBE",
  "state": "relaxed",
  "total_magnetization_mub_per_fu": 0.0,
  "density_g_cm3": 5.90,
  "dft_energy_ev_per_fu": -95.683,
  "formation_energy_uncorrected_kj_per_mol_fu": -3346,
  "lattice": [[3.496, 2.019, 6.982], [-3.496, 2.019, 6.982], [0.000, -4.037, 6.982]],
  "species": ["Cs", "Cs", "Cs", "Sm", "Sm", "Sm", "Ge", "O", "O", "O", "O", "O", "O", "O", "O"],
  "frac_coords": [[0.000, 0.500, 0.500], [0.500, 0.000, 0.500], [0.500, 0.500, 0.000], [0.000, 0.000, 0.500], [0.000, 0.500, 0.000], [0.500, 0.000, 0.000], [0.500, 0.500, 0.500], [0.221, 0.221, 0.221], [0.262, 0.695, 0.695], [0.305, 0.305, 0.738], [0.305, 0.738, 0.305], [0.695, 0.262, 0.695], [0.695, 0.695, 0.262], [0.738, 0.305, 0.305], [0.779, 0.779, 0.779]]
}